(a)
The following is a DFT calculation (PBE-GGA) of HfZnSbI2 after structural relaxation.

Lattice parameters (Å, degrees): 5.6964 5.6964 5.6578 90.00 90.00 90.00
Atoms (fractional coordinates):
I 0.0000 0.5000 0.0000
I 0.5000 0.0000 0.0000
Sb 0.0000 0.0000 0.5000
Zn 0.5000 0.5000 0.5000
Hf 0.0000 0.0000 0.0000

Total magnetization = 0.00 μB per cell
SG = No. 123

(b)
The following is a DFT calculation (PBE-GGA) of HfZnSbI2 after structural relaxation.

Lattice parameters (Å, degrees): 5.3144 5.3144 5.3848 90.00 90.00 90.00
Atoms (fractional coordinates):
I 0.0000 0.5000 0.0000
I 0.5000 0.0000 0.0000
Sb 0.0000 0.0000 0.5000
Zn 0.0000 0.0000 0.0000
Hf 0.5000 0.5000 0.5000

Total magnetization = 0.57 μB per cell
SG = No. 123

Going by the computed energies, the most stable comes first: (a), (b).

(a)
The following is a DFT calculation (PBE-GGA) of HfScI2 after structural relaxation.

Lattice parameters (Å, degrees): 7.9003 7.9003 6.6339 53.46 53.46 90.00
Atoms (fractional coordinates):
I 0.6262 0.1250 0.2500
I 0.1238 0.6250 0.2500
I 0.3750 0.3738 0.7500
I 0.8750 0.8762 0.7500
Sc 0.5000 0.5000 0.0000
Sc 0.2500 0.7500 0.5000
Hf 0.0000 0.0000 0.0000
Hf 0.7500 0.2500 0.5000

Total magnetization = 0.00 μB per cell
SG = No. 122

(b)
The following is a DFT calculation (PBE-GGA) of HfScI2 after structural relaxation.

Lattice parameters (Å, degrees): 5.0813 5.0813 5.0813 60.00 60.00 60.00
Atoms (fractional coordinates):
I 0.2500 0.2500 0.2500
I 0.7500 0.7500 0.7500
Sc 0.0000 0.0000 0.0000
Hf 0.5000 0.5000 0.5000

Total magnetization = 0.00 μB per cell
SG = No. 225

Going by the computed energies, the most stable comes first: (b), (a).

(a)
The following is a DFT calculation (PBE-GGA) of HfSc2I2 after structural relaxation.

Lattice parameters (Å, degrees): 4.5417 4.5417 7.4388 72.23 72.23 90.00
Atoms (fractional coordinates):
I 0.3784 0.3784 0.2432
I 0.6216 0.6216 0.7568
Sc 0.7500 0.2500 0.5000
Sc 0.2500 0.7500 0.5000
Hf 0.0000 0.0000 0.0000

Total magnetization = 0.00 μB per cell
SG = No. 139

(b)
The following is a DFT calculation (PBE-GGA) of HfSc2I2 after structural relaxation.

Lattice parameters (Å, degrees): 8.1461 8.1461 3.5428 90.00 90.00 90.00
Atoms (fractional coordinates):
I 0.3520 0.8520 0.0000
I 0.8520 0.6480 0.0000
I 0.6480 0.1480 0.0000
I 0.1480 0.3520 0.0000
Sc 0.1554 0.6554 0.5000
Sc 0.6554 0.8446 0.5000
Sc 0.8446 0.3446 0.5000
Sc 0.3446 0.1554 0.5000
Hf 0.0000 0.0000 0.0000
Hf 0.5000 0.5000 0.0000

Total magnetization = 0.00 μB per cell
SG = No. 127

Going by the computed energies, the most stable comes first: (b), (a).

(a)
The following is a DFT calculation (PBE-GGA) of HfSe2I after structural relaxation.

Lattice parameters (Å, degrees): 10.1373 10.1373 10.1373 20.34 20.34 20.34
Atoms (fractional coordinates):
I 0.5000 0.5000 0.5000
Hf 0.0000 0.0000 0.0000
Se 0.9162 0.9162 0.9162
Se 0.0838 0.0838 0.0838

Total magnetization = 0.00 μB per cell
SG = No. 166

(b)
The following is a DFT calculation (PBE-GGA) of HfSe2I after structural relaxation.

Lattice parameters (Å, degrees): 12.0914 12.0914 12.0914 17.51 17.51 17.51
Atoms (fractional coordinates):
I 0.0000 0.0000 0.0000
Hf 0.5000 0.5000 0.5000
Se 0.8786 0.8786 0.8786
Se 0.1214 0.1214 0.1214

Total magnetization = 0.00 μB per cell
SG = No. 166

Going by the computed energies, the most stable comes first: (b), (a).

(a)
The following is a DFT calculation (PBE-GGA) of HfSe2I after structural relaxation.

Lattice parameters (Å, degrees): 3.6793 3.6793 11.5261 90.00 90.00 60.00
Atoms (fractional coordinates):
Hf 0.1986 0.1986 0.3236
Se 0.5320 0.5320 0.1831
Se 0.8651 0.8651 0.4639
I 0.5327 0.5327 0.8014

Total magnetization = 0.00 μB per cell
SG = No. 156

(b)
The following is a DFT calculation (PBE-GGA) of HfSe2I after structural relaxation.

Lattice parameters (Å, degrees): 5.0200 5.0200 5.0200 60.00 60.00 60.00
Atoms (fractional coordinates):
I 0.0000 0.0000 0.0000
Hf 0.5000 0.5000 0.5000
Se 0.2500 0.2500 0.2500
Se 0.7500 0.7500 0.7500

Total magnetization = 0.00 μB per cell
SG = No. 225

Going by the computed energies, the most stable comes first: (a), (b).

(a)
The following is a DFT calculation (PBE-GGA) of HfSeI2 after structural relaxation.

Lattice parameters (Å, degrees): 5.1978 5.1978 5.1978 60.00 60.00 60.00
Atoms (fractional coordinates):
I 0.2500 0.2500 0.2500
I 0.7500 0.7500 0.7500
Hf 0.5000 0.5000 0.5000
Se 0.0000 0.0000 0.0000

Total magnetization = 0.00 μB per cell
SG = No. 225

(b)
The following is a DFT calculation (PBE-GGA) of HfSeI2 after structural relaxation.

Lattice parameters (Å, degrees): 3.7169 5.1998 8.4156 107.83 90.00 110.94
Atoms (fractional coordinates):
Hf 0.7391 0.4783 0.3750
Se 0.4353 0.8705 0.3750
I 0.0851 0.1703 0.1009
I 0.2405 0.4809 0.6490

Total magnetization = 0.00 μB per cell
SG = No. 8

Going by the computed energies, the most stable comes first: (b), (a).

(a)
The following is a DFT calculation (PBE-GGA) of Hf2SiI after structural relaxation.

Lattice parameters (Å, degrees): 4.8619 4.8619 4.8619 60.00 60.00 60.00
Atoms (fractional coordinates):
I 0.5000 0.5000 0.5000
Si 0.0000 0.0000 0.0000
Hf 0.2500 0.2500 0.2500
Hf 0.7500 0.7500 0.7500

Total magnetization = 0.00 μB per cell
SG = No. 225

(b)
The following is a DFT calculation (PBE-GGA) of Hf2SiI after structural relaxation.

Lattice parameters (Å, degrees): 5.6664 5.6664 8.3284 70.11 70.11 90.00
Atoms (fractional coordinates):
I 0.0000 0.0000 0.0000
I 0.7500 0.2500 0.5000
Si 0.5000 0.5000 0.0000
Si 0.2500 0.7500 0.5000
Hf 0.5515 0.1250 0.2500
Hf 0.1985 0.6250 0.2500
Hf 0.3750 0.4485 0.7500
Hf 0.8750 0.8015 0.7500

Total magnetization = 0.00 μB per cell
SG = No. 122

Going by the computed energies, the most stable comes first: (a), (b).

(a)
The following is a DFT calculation (PBE-GGA) of HfSi2I after structural relaxation.

Lattice parameters (Å, degrees): 4.8769 4.8769 4.8769 60.00 60.00 60.00
Atoms (fractional coordinates):
I 0.0000 0.0000 0.0000
Si 0.2500 0.2500 0.2500
Si 0.7500 0.7500 0.7500
Hf 0.5000 0.5000 0.5000

Total magnetization = 0.00 μB per cell
SG = No. 225

(b)
The following is a DFT calculation (PBE-GGA) of HfSi2I after structural relaxation.

Lattice parameters (Å, degrees): 6.2676 6.2676 7.9500 66.78 66.78 90.00
Atoms (fractional coordinates):
I 0.5000 0.5000 0.0000
I 0.2500 0.7500 0.5000
Si 0.6701 0.1250 0.2500
Si 0.0799 0.6250 0.2500
Si 0.3750 0.3299 0.7500
Si 0.8750 0.9201 0.7500
Hf 0.0000 0.0000 0.0000
Hf 0.7500 0.2500 0.5000

Total magnetization = 0.00 μB per cell
SG = No. 122

Going by the computed energies, the most stable comes first: (a), (b).

(a)
The following is a DFT calculation (PBE-GGA) of HfSiI3 after structural relaxation.

Lattice parameters (Å, degrees): 5.6707 5.6707 5.6707 90.00 90.00 90.00
Atoms (fractional coordinates):
I 0.0000 0.5000 0.0000
I 0.0000 0.0000 0.5000
I 0.5000 0.0000 0.0000
Si 0.5000 0.5000 0.5000
Hf 0.0000 0.0000 0.0000

Total magnetization = 2.42 μB per cell
SG = No. 221

(b)
The following is a DFT calculation (PBE-GGA) of HfSiI3 after structural relaxation.

Lattice parameters (Å, degrees): 5.5597 5.5597 5.5597 90.00 90.00 90.00
Atoms (fractional coordinates):
I 0.0000 0.5000 0.0000
I 0.0000 0.0000 0.5000
I 0.5000 0.0000 0.0000
Si 0.0000 0.0000 0.0000
Hf 0.5000 0.5000 0.5000

Total magnetization = 1.61 μB per cell
SG = No. 221

Going by the computed energies, the most stable comes first: (a), (b).

(a)
The following is a DFT calculation (PBE-GGA) of HfSiTeI2 after structural relaxation.

Lattice parameters (Å, degrees): 5.6531 5.6531 5.6129 90.00 90.00 90.00
Atoms (fractional coordinates):
I 0.0000 0.5000 0.0000
I 0.5000 0.0000 0.0000
Si 0.5000 0.5000 0.5000
Te 0.0000 0.0000 0.5000
Hf 0.0000 0.0000 0.0000

Total magnetization = 1.81 μB per cell
SG = No. 123

(b)
The following is a DFT calculation (PBE-GGA) of HfSiTeI2 after structural relaxation.

Lattice parameters (Å, degrees): 5.3185 5.3185 5.4524 90.00 90.00 90.00
Atoms (fractional coordinates):
I 0.0000 0.5000 0.0000
I 0.5000 0.0000 0.0000
Si 0.0000 0.0000 0.0000
Te 0.0000 0.0000 0.5000
Hf 0.5000 0.5000 0.5000

Total magnetization = 1.35 μB per cell
SG = No. 123

Going by the computed energies, the most stable comes first: (a), (b).

(a)
The following is a DFT calculation (PBE-GGA) of HfSn3I after structural relaxation.

Lattice parameters (Å, degrees): 5.6694 5.6694 5.6694 90.00 90.00 90.00
Atoms (fractional coordinates):
I 0.0000 0.0000 0.0000
Hf 0.5000 0.5000 0.5000
Sn 0.0000 0.5000 0.0000
Sn 0.0000 0.0000 0.5000
Sn 0.5000 0.0000 0.0000

Total magnetization = 0.00 μB per cell
SG = No. 221

(b)
The following is a DFT calculation (PBE-GGA) of HfSn3I after structural relaxation.

Lattice parameters (Å, degrees): 5.6513 5.6513 5.6513 90.00 90.00 90.00
Atoms (fractional coordinates):
I 0.5000 0.5000 0.5000
Hf 0.0000 0.0000 0.0000
Sn 0.0000 0.5000 0.0000
Sn 0.0000 0.0000 0.5000
Sn 0.5000 0.0000 0.0000

Total magnetization = 0.00 μB per cell
SG = No. 221

Going by the computed energies, the most stable comes first: (b), (a).

(a)
The following is a DFT calculation (PBE-GGA) of HfSn2I after structural relaxation.

Lattice parameters (Å, degrees): 5.3523 5.3523 5.3523 60.00 60.00 60.00
Atoms (fractional coordinates):
I 0.0000 0.0000 0.0000
Hf 0.5000 0.5000 0.5000
Sn 0.2500 0.2500 0.2500
Sn 0.7500 0.7500 0.7500

Total magnetization = 0.00 μB per cell
SG = No. 225

(b)
The following is a DFT calculation (PBE-GGA) of HfSn2I after structural relaxation.

Lattice parameters (Å, degrees): 4.3344 4.3344 11.9869 79.58 79.58 90.00
Atoms (fractional coordinates):
I 0.5000 0.5000 0.0000
I 0.2500 0.7500 0.5000
Hf 0.0000 0.0000 0.0000
Hf 0.7500 0.2500 0.5000
Sn 0.6409 0.1250 0.2500
Sn 0.1091 0.6250 0.2500
Sn 0.3750 0.3591 0.7500
Sn 0.8750 0.8909 0.7500

Total magnetization = 0.00 μB per cell
SG = No. 122

Going by the computed energies, the most stable comes first: (b), (a).